P) ScBSe2N: relaxed, GGA-PBE.

Results
The space-group type is No. 123. As for the magnetization: 0.000 μB/atom. Its crystal system is tetragonal.

Unit cell a=5.4470 b=5.4470 c=2.7282 alpha=90.00 beta=90.00 gamma=90.00
Sites, in units of the cell vectors:
N1 0.0000 0.0000 0.5000
B1 0.0000 0.0000 0.0000
Se1 0.5000 0.0000 0.0000
Se2 0.0000 0.5000 0.0000
Sc1 0.5000 0.5000 0.5000

=====

Q) ScBSe2N: relaxed, GGA-PBE.

Results
The space-group type is No. 123. As for the magnetization: 0.420 μB/atom. Its crystal system is tetragonal.

Unit cell a=5.2194 b=5.2194 c=4.1475 alpha=90.00 beta=90.00 gamma=90.00
Sites, in units of the cell vectors:
Se1 0.5000 0.0000 0.0000
B1 0.5000 0.5000 0.5000
N1 0.0000 0.0000 0.5000
Se2 0.0000 0.5000 0.0000
Sc1 0.0000 0.0000 0.0000

=====

Which is most stable? The ranking, best first, is P), Q).

=====

P) ScBTe2N: relaxed, GGA-PBE.

Results
The space-group type is No. 123. As for the magnetization: 0.000 μB/atom. Its crystal system is tetragonal.

Unit cell a=5.9464 b=5.9464 c=2.8035 alpha=90.00 beta=90.00 gamma=90.00
Sites, in units of the cell vectors:
Sc1 0.5000 0.5000 0.5000
Te1 0.0000 0.5000 0.0000
N1 0.0000 0.0000 0.5000
Te2 0.5000 0.0000 0.0000
B1 0.0000 0.0000 0.0000

=====

Q) ScBTe2N: relaxed, GGA-PBE.

Results
The space-group type is No. 123. As for the magnetization: 0.000 μB/atom. Its crystal system is tetragonal.

Unit cell a=5.6987 b=5.6987 c=3.8980 alpha=90.00 beta=90.00 gamma=90.00
Sites, in units of the cell vectors:
Te1 0.0000 0.5000 0.0000
B1 0.5000 0.5000 0.5000
N1 0.0000 0.0000 0.5000
Sc1 0.0000 0.0000 0.0000
Te2 0.5000 0.0000 0.0000

=====

Which is most stable? The ranking, best first, is P), Q).

=====

P) ScBTeN2: relaxed, GGA-PBE.

Results
The space-group type is No. 123. As for the magnetization: 0.084 μB/atom. Its crystal system is tetragonal.

Unit cell a=3.9576 b=3.9576 c=6.2048 alpha=90.00 beta=90.00 gamma=90.00
Sites, in units of the cell vectors:
B1 0.5000 0.5000 0.5000
N1 0.0000 0.5000 0.0000
N2 0.5000 0.0000 0.0000
Te1 0.0000 0.0000 0.5000
Sc1 0.0000 0.0000 0.0000

=====

Q) ScBTeN2: relaxed, GGA-PBE.

Results
The space-group type is No. 123. As for the magnetization: 0.234 μB/atom. Its crystal system is tetragonal.

Unit cell a=3.7457 b=3.7457 c=4.9185 alpha=90.00 beta=90.00 gamma=90.00
Sites, in units of the cell vectors:
Te1 0.0000 0.0000 0.5000
B1 0.0000 0.0000 0.0000
Sc1 0.5000 0.5000 0.5000
N1 0.5000 0.0000 0.0000
N2 0.0000 0.5000 0.0000

=====

Which is most stable? The ranking, best first, is Q), P).

=====

P) BSe2N: relaxed, GGA-PBE.

Results
The space-group type is No. 166. As for the magnetization: 0.000 μB/atom. Its crystal system is trigonal.

Unit cell a=6.3922 b=6.3922 c=6.3922 alpha=31.67 beta=31.67 gamma=31.67
Sites, in units of the cell vectors:
B1 0.5000 0.5000 0.5000
N1 0.0000 0.0000 0.0000
Se1 0.0982 0.0982 0.0982
Se2 0.9018 0.9018 0.9018

=====

Q) BSe2N: relaxed, GGA-PBE.

Results
The space-group type is No. 225. As for the magnetization: 0.000 μB/atom. Its crystal system is cubic.

Unit cell a=4.1404 b=4.1404 c=4.1404 alpha=60.00 beta=60.00 gamma=60.00
Sites, in units of the cell vectors:
N1 0.5000 0.5000 0.5000
Se1 0.7500 0.7500 0.7500
Se2 0.2500 0.2500 0.2500
B1 0.0000 0.0000 0.0000

=====

Which is most stable? The ranking, best first, is P), Q).

=====

P) B3SeN: relaxed, GGA-PBE.

Results
The space-group type is No. 221. As for the magnetization: 0.000 μB/atom. Its crystal system is cubic.

Unit cell a=4.0181 b=4.0181 c=4.0181 alpha=90.00 beta=90.00 gamma=90.00
Sites, in units of the cell vectors:
B1 0.5000 0.0000 0.0000
B2 0.0000 0.5000 0.0000
N1 0.5000 0.5000 0.5000
B3 0.0000 0.0000 0.5000
Se1 0.0000 0.0000 0.0000

=====

Q) B3SeN: relaxed, GGA-PBE.

Results
The space-group type is No. 221. As for the magnetization: 0.000 μB/atom. Its crystal system is cubic.

Unit cell a=3.6116 b=3.6116 c=3.6116 alpha=90.00 beta=90.00 gamma=90.00
Sites, in units of the cell vectors:
N1 0.0000 0.0000 0.0000
Se1 0.5000 0.5000 0.5000
B1 0.0000 0.5000 0.0000
B2 0.5000 0.0000 0.0000
B3 0.0000 0.0000 0.5000

=====

Which is most stable? The ranking, best first, is Q), P).

=====

P) BSeN2: relaxed, GGA-PBE.

Results
The space-group type is No. 225. As for the magnetization: 0.000 μB/atom. Its crystal system is cubic.

Unit cell a=3.7337 b=3.7337 c=3.7337 alpha=60.00 beta=60.00 gamma=60.00
Sites, in units of the cell vectors:
N1 0.2500 0.2500 0.2500
N2 0.7500 0.7500 0.7500
Se1 0.5000 0.5000 0.5000
B1 0.0000 0.0000 0.0000

=====

Q) BSeN2: relaxed, GGA-PBE.

Results
The space-group type is No. 122. As for the magnetization: 0.000 μB/atom. Its crystal system is tetragonal.

Unit cell a=4.5829 b=4.5829 c=4.8721 alpha=61.95 beta=61.95 gamma=90.00
Sites, in units of the cell vectors:
N1 0.3750 0.4977 0.7500
Se1 0.7500 0.2500 0.5000
Se2 0.0000 0.0000 0.0000
N2 0.5023 0.1250 0.2500
N3 0.8750 0.7523 0.7500
B1 0.2500 0.7500 0.5000
B2 0.5000 0.5000 0.0000
N4 0.2477 0.6250 0.2500

=====

R) BSeN2: relaxed, GGA-PBE.

Results
The space-group type is No. 166. As for the magnetization: 0.000 μB/atom. Its crystal system is trigonal.

Unit cell a=5.0609 b=5.0609 c=5.0609 alpha=41.65 beta=41.65 gamma=41.65
Sites, in units of the cell vectors:
B1 0.0000 0.0000 0.0000
N1 0.9023 0.9023 0.9023
Se1 0.5000 0.5000 0.5000
N2 0.0977 0.0977 0.0977

=====

S) BSeN2: relaxed, GGA-PBE.

Results
The space-group type is No. 166. As for the magnetization: 0.000 μB/atom. Its crystal system is trigonal.

Unit cell a=5.7979 b=5.7979 c=5.7979 alpha=27.50 beta=27.50 gamma=27.50
Sites, in units of the cell vectors:
N1 0.8832 0.8832 0.8832
B1 0.5000 0.5000 0.5000
N2 0.1168 0.1168 0.1168
Se1 0.0000 0.0000 0.0000

=====

Which is most stable? The ranking, best first, is Q), R), S), P).

=====

P) SiBSeN2: relaxed, GGA-PBE.

Results
The space-group type is No. 123. As for the magnetization: 0.009 μB/atom. Its crystal system is tetragonal.

Unit cell a=3.2711 b=3.2711 c=6.2903 alpha=90.00 beta=90.00 gamma=90.00
Sites, in units of the cell vectors:
N1 0.0000 0.5000 0.0000
N2 0.5000 0.0000 0.0000
Se1 0.0000 0.0000 0.5000
B1 0.0000 0.0000 0.0000
Si1 0.5000 0.5000 0.5000

=====

Q) SiBSeN2: relaxed, GGA-PBE.

Results
The space-group type is No. 123. As for the magnetization: 0.000 μB/atom. Its crystal system is tetragonal.

Unit cell a=3.3444 b=3.3444 c=6.9460 alpha=90.00 beta=90.00 gamma=90.00
Sites, in units of the cell vectors:
Se1 0.0000 0.0000 0.5000
N1 0.0000 0.5000 0.0000
N2 0.5000 0.0000 0.0000
Si1 0.0000 0.0000 0.0000
B1 0.5000 0.5000 0.5000

=====

Which is most stable? The ranking, best first, is Q), P).

=====

P) SnBSe2N: relaxed, GGA-PBE.

Results
The space-group type is No. 123. As for the magnetization: 0.000 μB/atom. Its crystal system is tetragonal.

Unit cell a=6.2438 b=6.2438 c=2.6685 alpha=90.00 beta=90.00 gamma=90.00
Sites, in units of the cell vectors:
B1 0.0000 0.0000 0.0000
Sn1 0.5000 0.5000 0.5000
Se1 0.5000 0.0000 0.0000
Se2 0.0000 0.5000 0.0000
N1 0.0000 0.0000 0.5000

=====

Q) SnBSe2N: relaxed, GGA-PBE.

Results
The space-group type is No. 123. As for the magnetization: 0.368 μB/atom. Its crystal system is tetragonal.

Unit cell a=5.3449 b=5.3449 c=4.0768 alpha=90.00 beta=90.00 gamma=90.00
Sites, in units of the cell vectors:
Sn1 0.0000 0.0000 0.0000
N1 0.0000 0.0000 0.5000
Se1 0.0000 0.5000 0.0000
B1 0.5000 0.5000 0.5000
Se2 0.5000 0.0000 0.0000

=====

Which is most stable? The ranking, best first, is P), Q).